Below is a relaxed structure of TlNiO3, with properties calculated at the PBE with a Hubbard U level.

a b c (Å): 3.7746 3.7746 3.7746
angles (deg): 90.00 90.00 90.00
Fractional positions:
Tl (0.0000, 0.0000, 0.0000)
Ni (0.5000, 0.5000, 0.5000)
O (0.0000, 0.5000, 0.5000)
O (0.5000, 0.0000, 0.5000)
O (0.5000, 0.5000, 0.0000)

Calculated values
The value obtained for the density of states at the Fermi level is 0.385 states/eV per atom. The value obtained for the calculated total energy is -4.308 eV per atom.